No. 1
3
Lattice="0.000 2.318 6.835 2.089 0.000 6.835 2.089 2.318 0.000" Properties=species:S:1:pos:R:3 comment="SrTaSi (PBE-GGA, relaxed)" crystal_system=orthorhombic magnetic_moment_mub_per_fu=0.0 formation_energy_uncorrected_ev_per_atom=0.308 pbc="T T T"
Sr 0.000 0.000 0.000
Ta 2.089 2.318 3.942
Si 2.089 2.318 9.144

---

No. 2
12
Lattice="4.014 0.000 0.000 -0.003 5.764 0.000 -1.993 -2.011 8.756" Properties=species:S:1:pos:R:3 comment="HfPd4Pt7 (PBE-GGA, relaxed)" crystal_system=triclinic delta_e_f_ev_per_atom=-0.179 magnetic_moment_mub_per_fu=0.0 pbc="T T T"
Hf 0.000 0.000 0.000
Pd 0.000 3.385 2.714
Pd 0.016 2.292 7.033
Pd 2.002 1.461 1.723
Pd 2.018 0.368 6.042
Pt -0.002 2.882 0.000
Pt 0.007 1.052 4.008
Pt 0.004 4.379 5.246
Pt 0.014 -0.566 7.695
Pt 2.005 4.320 1.061
Pt 2.014 -0.626 3.510
Pt 2.012 2.701 4.748

---

No. 3
6
Lattice="0.000 3.722 3.722 3.722 0.000 3.722 3.722 3.722 0.000" Properties=species:S:1:pos:R:3 comment="ZrSi4Te (PBE-GGA, relaxed)" crystal_system=cubic magnetic_moment_mub_per_fu=0.0 formation_energy_uncorrected_ev_per_atom=0.072 pbc="T T T"
Zr 0.000 0.000 0.000
Si 4.648 2.796 2.796
Si 2.796 4.648 2.796
Si 2.796 2.796 4.648
Si 4.648 4.648 4.648
Te 1.861 1.861 1.861